1.
Here is a relaxed structure of YPd3Au7 from Alexandria. Energies are from PBE.

Cell: 8.5948 9.8396 5.5789 Å, 90.00 111.94 90.00°
Last column: nearest neighbours and their distance in Å.
Space group C2/m (No. 12)
One atom of each set of equivalent atoms:
Y (0.0000, 0.0000, 0.0000) x2  8 Au 2.79-2.97
Pd (0.0000, 0.2681, 0.5000) x4  7 Au 2.64-2.74
Pd (0.0000, 0.5000, 0.0000) x2  6 Au 2.74-2.90
Au (0.0000, 0.0000, 0.5000) x2  2 Pd 2.64, 2 Y 2.79, 2 Au 2.85
Au (0.1736, 0.2631, 0.1758) x8  3 Pd 2.73-2.74, 3 Au 2.75-3.02, 1 Y 2.97
Au (0.1826, 0.5000, 0.5538) x4  3 Pd 2.72-2.90, 4 Au 2.85-3.02, 1 Y 2.93

## Properties
- ρ: 13.56 Mg/m³
- Energy of formation from the pure elements: -10 kJ/mol of atoms

2.
Here is a relaxed structure of YPdAu3 from Alexandria. Energies are from PBE.

Cell: 4.9506 5.6343 7.4212 Å, 90.00 109.40 90.00°
Last column: nearest neighbours and their distance in Å.
Space group P2_1/m (No. 11)
One atom of each set of equivalent atoms:
Y (0.1022, 0.2500, 0.2031) x2  2 Pd 2.84, 6 Au 2.98-3.12
Pd (0.1269, 0.7500, 0.2549) x2  2 Y 2.84, 8 Au 2.88-3.00
Au (0.3068, 0.5010, 0.6140) x4  5 Au 2.81-2.95, 3 Pd 2.88-3.00, 2 Y 3.12
Au (0.4840, 0.2500, 0.9642) x2  4 Au 2.83-2.86, 2 Pd 2.90-2.92, 2 Y 2.98-2.99

## Properties
- ρ: 13.37 Mg/m³
- Energy of formation from the pure elements: -51 kJ/mol of atoms
- Distance to the lowest polymorph of the same formula: 61 meV/atom

3.
Here is a relaxed structure of YPd2Au2 from Alexandria. Energies are from PBE.

Cell: 7.9938 10.7353 4.8680 Å, 90.00 108.18 90.00°
Last column: nearest neighbours and their distance in Å.
Space group C2/c (No. 15)
One atom of each set of equivalent atoms:
Y (0.0000, 0.1370, 0.2500) x4  4 Pd 2.73-2.83
Pd (0.1629, 0.2995, 0.7133) x8  2 Y 2.73-2.83, 3 Pd 2.74-3.03, 4 Au 2.76-2.87
Au (0.1841, 0.4339, 0.2146) x8  4 Pd 2.76-2.87, 3 Au 2.82-3.07

## Properties
- ρ: 11.64 Mg/m³
- Energy of formation from the pure elements: -46 kJ/mol of atoms
- Distance to the lowest polymorph of the same formula: 119 meV/atom

4.
Here is a relaxed structure of YPd5Au4 from Alexandria. Energies are from PBE.

Cell: 8.1601 9.6319 4.7638 Å, 90.00 90.00 90.00°
Last column: nearest neighbours and their distance in Å.
Space group Pmmn (No. 59, origin choice 2)
One atom of each set of equivalent atoms:
Y (0.2500, 0.2500, 0.0531) x2  6 Au 3.07-3.10, 4 Pd 3.15
Pd (0.0824, 0.5057, 0.7562) x8  4 Pd 2.69-2.79, 5 Au 2.71-2.88
Pd (0.2500, 0.7500, 0.8333) x2  4 Pd 2.75, 4 Au 2.78-2.80
Au (0.0077, 0.2500, 0.5553) x4  5 Pd 2.71-2.88, 2 Au 2.97
Au (0.2500, 0.5522, 0.2595) x4  7 Pd 2.77-2.80, 2 Au 2.97, 1 Y 3.07

## Properties
- ρ: 12.50 Mg/m³
- Energy of formation from the pure elements: -28 kJ/mol of atoms

5.
Here is a relaxed structure of Y3Pd8Au2 from Alexandria. Energies are from PBE.

Cell: 5.3285 5.3285 30.9667 Å, 90.00 90.00 120.00°
Last column: nearest neighbours and their distance in Å.
Space group R-3m (No. 166, hexagonal axes)
One atom of each set of equivalent atoms:
Y (0.0000, 0.0000, 0.0000) x3  6 Au 3.20, 12 Pd 3.51-3.54
Y (0.0000, 0.0000, 0.1883) x6  7 Pd 2.73-2.98
Pd (0.0000, 0.0000, 0.2765) x6  1 Au 2.62, 1 Y 2.73
Pd (0.0027, 0.5013, 0.7687) x18  4 Pd 2.64-2.69, 1 Au 2.77
Au (0.0000, 0.0000, 0.3612) x6  4 Pd 2.62-2.77

## Properties
- ρ: 9.89 Mg/m³
- Energy of formation from the pure elements: -49 kJ/mol of atoms

6.
Here is a relaxed structure of YPd4Au2 from Alexandria. Energies are from PBE.

Cell: 8.7198 6.7987 5.4774 Å, 90.00 128.40 90.00°
Last column: nearest neighbours and their distance in Å.
Space group C2/m (No. 12)
One atom of each set of equivalent atoms:
Y (0.0000, 0.0000, 0.0000) x2  4 Pd 2.88
Pd (0.2008, 0.2011, 0.7008) x8  4 Pd 2.73-2.90, 4 Au 2.80-2.82, 1 Y 2.88
Au (0.9997, 0.5000, 0.2494) x4  2 Au 2.74, 8 Pd 2.80-2.82

## Properties
- ρ: 11.86 Mg/m³
- Energy of formation from the pure elements: -45 kJ/mol of atoms
- Distance to the lowest polymorph of the same formula: 0 meV/atom

7.
Here is a relaxed structure of Y5PdAu4 from Alexandria. Energies are from PBE.

Cell: 3.5780 3.5780 18.0789 Å, 90.00 90.00 90.00°
Last column: nearest neighbours and their distance in Å.
Space group P4/mmm (No. 123)
One atom of each set of equivalent atoms:
Y (0.0000, 0.0000, 0.0000) x1  8 Au 3.12
Y (0.0000, 0.0000, 0.2023) x2  8 Au 3.12
Y (0.0000, 0.0000, 0.4040) x2  4 Pd 3.07, 4 Au 3.12
Pd (0.5000, 0.5000, 0.5000) x1  8 Y 3.07
Au (0.5000, 0.5000, 0.1009) x2  8 Y 3.12
Au (0.5000, 0.5000, 0.3029) x2  8 Y 3.12

## Properties
- ρ: 9.61 Mg/m³
- Energy of formation from the pure elements: -83 kJ/mol of atoms

8.
Here is a relaxed structure of YPd2Au2 from Alexandria. Energies are from PBE.

Cell: 3.9121 3.9121 13.2300 Å, 90.00 90.00 90.00°
Last column: nearest neighbours and their distance in Å.
Space group I4/mmm (No. 139)
One atom of each set of equivalent atoms:
Y (0.0000, 0.0000, 0.0000) x2  8 Pd 3.06
Pd (0.0000, 0.0000, 0.4017) x4  1 Pd 2.60, 4 Au 2.80
Au (0.0000, 0.5000, 0.2500) x4  4 Au 2.77, 4 Pd 2.80

## Properties
- ρ: 11.41 Mg/m³
- Energy of formation from the pure elements: -47 kJ/mol of atoms
- Distance to the lowest polymorph of the same formula: 109 meV/atom

9.
Here is a relaxed structure of YPd6Au8 from Alexandria. Energies are from PBE.

Cell: 7.7536 7.7536 5.5385 Å, 90.00 90.00 120.00°
Last column: nearest neighbours and their distance in Å.
Space group P-3 (No. 147)
One atom of each set of equivalent atoms:
Y (0.0000, 0.0000, 0.0000) x1  6 Pd 2.83
Pd (0.0419, 0.3700, 0.1373) x6  7 Au 2.75-2.97, 1 Y 2.83, 1 Pd 2.85
Au (0.0241, 0.3272, 0.6314) x6  5 Pd 2.75-2.97, 3 Au 2.80-2.85
Au (0.3333, 0.6667, 0.8499) x2  6 Pd 2.78, 3 Au 2.80

## Properties
- ρ: 13.26 Mg/m³
- Energy of formation from the pure elements: -15 kJ/mol of atoms
- Distance to the lowest polymorph of the same formula: 0 meV/atom

10.
Here is a relaxed structure of Y3PdAu2 from Alexandria. Energies are from PBE.

Cell: 3.5720 3.5720 10.7885 Å, 90.00 90.00 90.00°
Last column: nearest neighbours and their distance in Å.
Space group P4/mmm (No. 123)
One atom of each set of equivalent atoms:
Y (0.0000, 0.0000, 0.0000) x1  8 Au 3.11
Y (0.0000, 0.0000, 0.3383) x2  4 Pd 3.07, 4 Au 3.12
Pd (0.5000, 0.5000, 0.5000) x1  8 Y 3.07
Au (0.5000, 0.5000, 0.1689) x2  8 Y 3.11-3.12

## Properties
- ρ: 9.25 Mg/m³
- Energy of formation from the pure elements: -83 kJ/mol of atoms

11.
Here is a relaxed structure of Y2Pd4Au from Alexandria. Energies are from PBE.

Cell: 3.9725 3.9725 18.1589 Å, 90.00 90.00 90.00°
Last column: nearest neighbours and their distance in Å.
Space group I4/mmm (No. 139)
One atom of each set of equivalent atoms:
Y (0.0000, 0.0000, 0.1118) x4  8 Pd 2.88-3.20
Pd (0.0000, 0.0000, 0.3538) x4  1 Au 2.65, 4 Pd 2.74, 4 Y 2.88
Pd (0.0000, 0.5000, 0.2500) x4  8 Pd 2.74-2.81
Au (0.0000, 0.0000, 0.5000) x2  2 Pd 2.65

## Properties
- ρ: 9.28 Mg/m³
- Energy of formation from the pure elements: -68 kJ/mol of atoms

no.,Fermi-level density of states (states/eV per atom)
1,0.3634
2,0.4994
3,0.4255
4,0.5027
5,0.6011
6,0.3626
7,0.5495
8,0.3755
9,0.4963
10,0.7173
11,0.3992